1.
This record from Alexandria describes crystalline La9Nd11Tm4 at its relaxed geometry. The functional is PBE-GGA.

Lattice parameters (Å, degrees): 16.0865 16.0865 3.7176 90.00 90.00 117.86
Fractional coordinates of all 24 atoms:
La 0.0000 0.0000 0.0000
La 0.1151 0.6715 0.0000
La 0.2949 0.4675 0.0000
La 0.3285 0.8849 0.0000
La 0.4675 0.2949 0.0000
La 0.5325 0.7051 0.0000
La 0.6715 0.1151 0.0000
La 0.7051 0.5325 0.0000
La 0.8849 0.3285 0.0000
Nd 0.0995 0.4639 0.5000
Nd 0.1223 0.8777 0.5000
Nd 0.2399 0.2399 0.5000
Nd 0.3219 0.6781 0.5000
Nd 0.4639 0.0995 0.5000
Nd 0.5000 0.5000 0.5000
Nd 0.5361 0.9005 0.5000
Nd 0.6781 0.3219 0.5000
Nd 0.7601 0.7601 0.5000
Nd 0.8777 0.1223 0.5000
Nd 0.9005 0.5361 0.5000
Tm 0.0732 0.2661 0.0000
Tm 0.2661 0.0732 0.0000
Tm 0.7339 0.9268 0.0000
Tm 0.9268 0.7339 0.0000

Output
The calculation puts the formation energy at 1.20 eV/f.u. The value obtained for the spin magnetization is 0.3 μB/cell. Its crystal system is orthorhombic. Its total energy is -4.7284 eV/atom.



2.
This record from Alexandria describes crystalline La2Nd7Tm2 at its relaxed geometry. The functional is PBE-GGA.

Lattice parameters (Å, degrees): 8.2268 8.2268 6.1665 105.60 105.60 89.98
Fractional coordinates of all 11 atoms:
La 0.0740 0.0740 0.3030
La 0.9260 0.9260 0.6970
Nd 0.0872 0.5482 0.3199
Nd 0.2750 0.2750 0.9055
Nd 0.4518 0.9128 0.6801
Nd 0.5000 0.5000 0.5000
Nd 0.5482 0.0872 0.3199
Nd 0.7250 0.7250 0.0945
Nd 0.9128 0.4518 0.6801
Tm 0.2838 0.7162 0.0000
Tm 0.7162 0.2838 0.0000

Output
As for the energy above the most stable polymorph in this dataset: 0.000 eV/atom. The calculation puts the formation energy at 1.40 eV/f.u. The value obtained for the spin magnetization is 0.0 μB/cell. Its crystal system is monoclinic. Its total energy is -4.6152 eV/atom.



3.
This record from Alexandria describes crystalline LaNdTm at its relaxed geometry. The functional is PBE-GGA.

Lattice parameters (Å, degrees): 5.7702 5.7702 3.5088 90.00 90.00 120.00
Fractional coordinates of all 3 atoms:
La 0.0000 0.0000 0.0000
Nd 0.6667 0.3333 0.5005
Tm 0.3333 0.6667 0.0015

Output
As for the energy above the most stable polymorph in this dataset: 0.044 eV/atom. The calculation puts the formation energy at 0.21 eV/f.u. The value obtained for the spin magnetization is 0.0 μB/cell. Its crystal system is trigonal. Its total energy is -4.6532 eV/atom.



4.
This record from Alexandria describes crystalline La3Nd2Tm3 at its relaxed geometry. The functional is PBE-GGA.

Lattice parameters (Å, degrees): 8.7230 8.7230 6.1005 109.64 109.64 39.29
Fractional coordinates of all 8 atoms:
La 0.0000 0.0000 0.0000
La 0.1363 0.1363 0.6976
La 0.8637 0.8637 0.3024
Nd 0.2510 0.2510 0.3183
Nd 0.7490 0.7490 0.6817
Tm 0.3716 0.3716 0.9179
Tm 0.5000 0.5000 0.5000
Tm 0.6284 0.6284 0.0821

Output
As for the energy above the most stable polymorph in this dataset: 0.068 eV/atom. The calculation puts the formation energy at 0.78 eV/f.u. The value obtained for the spin magnetization is 0.0 μB/cell. Its crystal system is monoclinic. Its total energy is -4.6196 eV/atom.



5.
This record from Alexandria describes crystalline LaNd2Tm7 at its relaxed geometry. The functional is PBE-GGA.

Lattice parameters (Å, degrees): 6.1166 7.0974 7.9703 76.77 75.16 73.98
Fractional coordinates of all 10 atoms:
La 0.0000 0.0000 0.0000
Nd 0.2036 0.7960 0.5989
Nd 0.7964 0.2040 0.4011
Tm 0.0000 0.5000 0.0000
Tm 0.1987 0.3019 0.6001
Tm 0.3997 0.1014 0.1996
Tm 0.4021 0.5977 0.1985
Tm 0.5979 0.4023 0.8015
Tm 0.6003 0.8986 0.8004
Tm 0.8013 0.6981 0.3999

Output
As for the energy above the most stable polymorph in this dataset: 0.000 eV/atom. The calculation puts the formation energy at 0.26 eV/f.u. The value obtained for the spin magnetization is 0.0 μB/cell. Its crystal system is triclinic. Its total energy is -4.5499 eV/atom.



6.
This record from Alexandria describes crystalline La8NdTm2 at its relaxed geometry. The functional is PBE-GGA.

Lattice parameters (Å, degrees): 9.6164 9.6164 6.1051 105.78 105.78 122.37
Fractional coordinates of all 11 atoms:
La 0.0961 0.3380 0.6857
La 0.2059 0.7941 0.0000
La 0.3380 0.0961 0.6857
La 0.4217 0.4217 0.2016
La 0.5783 0.5783 0.7984
La 0.6620 0.9039 0.3143
La 0.7941 0.2059 0.0000
La 0.9039 0.6620 0.3143
Nd 0.0000 0.0000 0.0000
Tm 0.3117 0.6883 0.5000
Tm 0.6883 0.3117 0.5000

Output
As for the energy above the most stable polymorph in this dataset: 0.022 eV/atom. The calculation puts the formation energy at 1.31 eV/f.u. The value obtained for the spin magnetization is 0.0 μB/cell. Its crystal system is monoclinic. Its total energy is -4.7107 eV/atom.



7.
This record from Alexandria describes crystalline La3NdTm4 at its relaxed geometry. The functional is PBE-GGA.

Lattice parameters (Å, degrees): 9.0250 9.0250 9.0250 157.89 98.46 85.78
Fractional coordinates of all 8 atoms:
La 0.0000 0.0000 0.0000
La 0.2567 0.7567 0.5000
La 0.7433 0.2433 0.5000
Nd 0.5000 0.5000 0.0000
Tm 0.1171 0.3650 0.7521
Tm 0.3871 0.6350 0.7521
Tm 0.6129 0.3650 0.2479
Tm 0.8829 0.6350 0.2479

Output
As for the energy above the most stable polymorph in this dataset: 0.110 eV/atom. The calculation puts the formation energy at 1.16 eV/f.u. The value obtained for the spin magnetization is 0.0 μB/cell. Its crystal system is orthorhombic. Its total energy is -4.5350 eV/atom.



8.
This record from Alexandria describes crystalline La4Nd5Tm2 at its relaxed geometry. The functional is PBE-GGA.

Lattice parameters (Å, degrees): 12.6407 12.6407 12.6407 163.88 135.29 47.83
Fractional coordinates of all 11 atoms:
La 0.0929 0.0929 0.0000
La 0.2105 0.5000 0.7105
La 0.7895 0.5000 0.2895
La 0.9071 0.9071 0.0000
Nd 0.1393 0.3461 0.7932
Nd 0.4472 0.6539 0.7932
Nd 0.5000 0.0000 0.5000
Nd 0.5528 0.3461 0.2068
Nd 0.8607 0.6539 0.2068
Tm 0.2286 0.2286 0.0000
Tm 0.7714 0.7714 0.0000

Output
As for the energy above the most stable polymorph in this dataset: 0.164 eV/atom. The calculation puts the formation energy at 2.66 eV/f.u. The value obtained for the spin magnetization is 0.0 μB/cell. Its crystal system is orthorhombic. Its total energy is -4.5299 eV/atom.



9.
This record from Alexandria describes crystalline LaNd8Tm5 at its relaxed geometry. The functional is PBE-GGA.

Lattice parameters (Å, degrees): 8.5742 8.5742 8.5742 111.89 111.89 104.74
Fractional coordinates of all 14 atoms:
La 0.0000 0.0000 0.0000
Nd 0.0897 0.3229 0.4114
Nd 0.2826 0.1784 0.7546
Nd 0.3218 0.9103 0.2332
Nd 0.4238 0.5280 0.2454
Nd 0.4720 0.7174 0.8958
Nd 0.6771 0.0885 0.7668
Nd 0.8216 0.5762 0.1042
Nd 0.9115 0.6782 0.5886
Tm 0.0250 0.4334 0.8149
Tm 0.2500 0.7500 0.5000
Tm 0.5666 0.3815 0.5916
Tm 0.6185 0.2101 0.1851
Tm 0.7899 0.9750 0.4084

Output
The calculation puts the formation energy at 3.21 eV/f.u. The value obtained for the spin magnetization is 0.0 μB/cell. Its crystal system is tetragonal. Its total energy is -4.4442 eV/atom.



10.
This record from Alexandria describes crystalline LaNdTm4 at its relaxed geometry. The functional is PBE-GGA.

Lattice parameters (Å, degrees): 8.5902 8.5902 6.4579 99.44 99.44 118.17
Fractional coordinates of all 12 atoms:
La 0.0825 0.9175 0.7500
La 0.9175 0.0825 0.2500
Nd 0.4926 0.5074 0.2500
Nd 0.5074 0.4926 0.7500
Tm 0.0659 0.3436 0.8799
Tm 0.2124 0.6016 0.4727
Tm 0.3436 0.0659 0.3799
Tm 0.3984 0.7876 0.0273
Tm 0.6016 0.2124 0.9727
Tm 0.6564 0.9341 0.6201
Tm 0.7876 0.3984 0.5273
Tm 0.9341 0.6564 0.1201

Output
As for the energy above the most stable polymorph in this dataset: 0.117 eV/atom. The calculation puts the formation energy at 0.88 eV/f.u. The value obtained for the spin magnetization is 0.0 μB/cell. Its crystal system is monoclinic. Its total energy is -4.4510 eV/atom.



11.
This record from Alexandria describes crystalline La4Nd2Tm3 at its relaxed geometry. The functional is PBE-GGA.

Lattice parameters (Å, degrees): 10.4135 10.4135 6.0948 96.50 96.50 70.16
Fractional coordinates of all 18 atoms:
La 0.0488 0.8258 0.9609
La 0.1621 0.3838 0.1229
La 0.1742 0.9512 0.5391
La 0.3838 0.1621 0.6229
La 0.6162 0.8379 0.3771
La 0.8258 0.0488 0.4609
La 0.8379 0.6162 0.8771
La 0.9512 0.1742 0.0391
Nd 0.2875 0.5051 0.6999
Nd 0.4949 0.7125 0.8001
Nd 0.5051 0.2875 0.1999
Nd 0.7125 0.4949 0.3001
Tm 0.0211 0.3159 0.5799
Tm 0.3159 0.0211 0.0799
Tm 0.3549 0.6451 0.2500
Tm 0.6451 0.3549 0.7500
Tm 0.6841 0.9789 0.9201
Tm 0.9789 0.6841 0.4201

Output
As for the energy above the most stable polymorph in this dataset: 0.027 eV/atom. The calculation puts the formation energy at 0.74 eV/f.u. The value obtained for the spin magnetization is 0.0 μB/cell. Its crystal system is monoclinic. Its total energy is -4.6576 eV/atom.



12.
This record from Alexandria describes crystalline La6Nd8Tm at its relaxed geometry. The functional is PBE-GGA.

Lattice parameters (Å, degrees): 8.9323 8.9323 8.9323 63.23 63.23 63.23
Fractional coordinates of all 15 atoms:
La 0.0376 0.7385 0.5941
La 0.2615 0.4059 0.9624
La 0.4059 0.9624 0.2615
La 0.5941 0.0376 0.7385
La 0.7385 0.5941 0.0376
La 0.9624 0.2615 0.4059
Nd 0.0778 0.0778 0.0778
Nd 0.2082 0.2609 0.6140
Nd 0.2609 0.6140 0.2082
Nd 0.3860 0.7918 0.7391
Nd 0.6140 0.2082 0.2609
Nd 0.7391 0.3860 0.7918
Nd 0.7918 0.7391 0.3860
Nd 0.9222 0.9222 0.9222
Tm 0.5000 0.5000 0.5000

Output
The calculation puts the formation energy at 1.46 eV/f.u. The value obtained for the spin magnetization is 0.0 μB/cell. Its crystal system is trigonal. Its total energy is -4.7143 eV/atom.